Entry from the Alexandria database: crystalline Na3Eu at its relaxed geometry (PBE).

## Properties
As for the total magnetization: 7.598 μB per formula unit. For the density of states at the Fermi level, the calculation gives 5.26 states/eV per cell. The total DFT energy (no corrections) comes out at -0.2546 Ry per atom.

Cell: 4.0719 12.4089 6.3045 Å, 90.00 90.00 90.00°
Closest atoms and distances in Å follow each position.
Space group Imm2 (No. 44)
Inequivalent atoms, fractional coordinates:
Na  0.0000  0.0000  0.0000 (multiplicity 2)  4 Na 3.51, 4 Eu 3.75
Na  0.0000  0.2692  0.5011 (multiplicity 4)  6 Na 3.51-3.78, 2 Eu 3.91
Eu  0.0000  0.5000  0.0000 (multiplicity 2)  8 Na 3.75-3.91, 2 Eu 4.07



Entry from the Alexandria database: crystalline Ba2PmTcN4 at its relaxed geometry (PBE).

## Properties
As for the total magnetization: 0.000 μB per formula unit. The calculation puts the uncorrected formation energy at -25 kJ per mole of atoms. For the density of states at the Fermi level, the calculation gives 38.20 states/eV per cell.

Cell: 6.0962 12.1049 21.4096 Å, 90.00 90.00 90.00°
Closest atoms and distances in Å follow each position.
Space group Fddd (No. 70, origin choice 2)
Inequivalent atoms, fractional coordinates:
Ba  0.1250  0.1250  0.3137 (multiplicity 16)  2 N 2.94
Pm  0.1250  0.1250  0.1250 (multiplicity 8)  4 N 2.35
Tc  0.1250  0.1250  0.6250 (multiplicity 8)  4 N 1.86
N  0.0688  0.2828  0.8331 (multiplicity 32)  1 Tc 1.86



Entry from the Alexandria database: crystalline BaTbPdO4 at its relaxed geometry (PBE).

## Properties
As for the total magnetization: 0.996 μB per formula unit. The calculation puts the uncorrected formation energy at -193 kJ per mole of atoms. For the density of states at the Fermi level, the calculation gives 0.66 states/eV per cell.

Cell: 6.7047 7.0691 10.1568 Å, 90.00 90.00 90.00°
Closest atoms and distances in Å follow each position.
Space group Imma (No. 74)
Inequivalent atoms, fractional coordinates:
Ba  0.0000  0.2500  0.1421 (multiplicity 4)  4 O 2.42-2.59
Tb  0.0000  0.0000  0.5000 (multiplicity 4)  6 O 2.27-2.38
Pd  0.2500  0.2500  0.7500 (multiplicity 4)  4 O 2.13
O  0.0000  0.0670  0.7299 (multiplicity 8)  2 Pd 2.13
O  0.2122  0.2500  0.5012 (multiplicity 8)  2 Tb 2.27, 1 Ba 2.42, 1 Pd 2.54



Entry from the Alexandria database: crystalline Cu4Ag2Pd5 at its relaxed geometry (PBE).

## Properties
As for the total magnetization: 0.000 μB per formula unit. For the density of states at the Fermi level, the calculation gives 14.95 states/eV per cell. The value obtained for the distance to the lowest polymorph of the same formula is 0 meV/atom.

Cell: 17.8169 2.7493 6.8513 Å, 90.00 90.60 90.00°
Closest atoms and distances in Å follow each position.
Space group C2/m (No. 12)
Inequivalent atoms, fractional coordinates:
Cu  0.0803  0.0000  0.2265 (multiplicity 4)  4 Pd 2.57-2.74, 2 Cu 2.75, 4 Ag 2.83-2.86
Cu  0.2417  0.0000  0.3235 (multiplicity 4)  6 Pd 2.55-2.75, 4 Cu 2.75-2.79
Ag  0.0559  0.5000  0.8707 (multiplicity 4)  3 Ag 2.68-2.75, 5 Pd 2.72-2.86, 4 Cu 2.83-2.86
Pd  0.0000  0.5000  0.5000 (multiplicity 2)  2 Ag 2.72, 4 Cu 2.74, 6 Pd 2.75-2.83
Pd  0.1366  0.0000  0.5728 (multiplicity 4)  4 Cu 2.55-2.66, 5 Pd 2.75-2.83
Pd  0.1861  0.0000  0.9663 (multiplicity 4)  4 Cu 2.61-2.75, 5 Pd 2.69-2.83, 2 Ag 2.77



Entry from the Alexandria database: crystalline CuTcRh2C at its relaxed geometry (PBE).

## Properties
As for the total magnetization: 0.793 μB per formula unit. For the density of states at the Fermi level, the calculation gives 6.56 states/eV per cell. The total DFT energy (no corrections) comes out at -0.3774 Ry per atom.

Cell: 4.6059 4.6059 4.6648 Å, 90.00 90.00 90.00°
Closest atoms and distances in Å follow each position.
Space group P4/mmm (No. 123)
Inequivalent atoms, fractional coordinates:
Cu  0.0000  0.0000  0.0000 (multiplicity 1)  2 Tc 2.33
Tc  0.0000  0.0000  0.5000 (multiplicity 1)  4 Rh 2.30, 2 Cu 2.33
Rh  0.0000  0.5000  0.5000 (multiplicity 2)  2 Tc 2.30
C  0.5000  0.5000  0.0000 (multiplicity 1)  4 Cu 3.26, 8 Rh 3.28



Entry from the Alexandria database: crystalline LaRh2Br at its relaxed geometry (PBE).

## Properties
As for the total magnetization: 0.438 μB per formula unit. The calculation puts the uncorrected formation energy at -46 kJ per mole of atoms. For the density of states at the Fermi level, the calculation gives 2.95 states/eV per cell. The value obtained for the distance to the lowest polymorph of the same formula is 2 meV/atom.

Cell: 3.5816 3.5816 7.7399 Å, 90.00 90.00 90.00°
Closest atoms and distances in Å follow each position.
Space group P4mm (No. 99)
Inequivalent atoms, fractional coordinates:
La  0.0000  0.0000  0.0000 (multiplicity 1)  1 Rh 2.60
Rh  0.0000  0.0000  0.3361 (multiplicity 1)  1 La 2.60, 4 Rh 2.62
Rh  0.5000  0.5000  0.2518 (multiplicity 1)  4 Rh 2.62
Br  0.5000  0.5000  0.7586 (multiplicity 1)  4 La 3.15



Entry from the Alexandria database: crystalline Cs3K3As2 at its relaxed geometry (PBE).

## Properties
As for the total magnetization: 0.000 μB per formula unit. For the density of states at the Fermi level, the calculation gives 33.34 states/eV per cell. The total DFT energy (no corrections) comes out at -0.1578 Ry per atom.

Cell: 10.6120 20.4812 7.2689 Å, 90.00 90.00 90.00°
Closest atoms and distances in Å follow each position.
Space group Pnma (No. 62)
Inequivalent atoms, fractional coordinates:
Cs  0.0310  0.1034  0.0630 (multiplicity 8)  2 As 3.74-3.76, 2 K 3.97-4.17
Cs  0.1769  0.2500  0.6599 (multiplicity 4)  2 K 3.79-3.86, 2 As 3.85
K  0.1381  0.7500  0.6051 (multiplicity 4)  2 As 3.23
K  0.1552  0.0417  0.5785 (multiplicity 8)  3 As 3.42-3.48
As  0.1373  0.6116  0.3924 (multiplicity 8)  4 K 3.23-3.48



Entry from the Alexandria database: crystalline Tb3Tl3CrSe8 at its relaxed geometry (PBE).

## Properties
As for the total magnetization: 2.436 μB per formula unit. The calculation puts the uncorrected formation energy at -110 kJ per mole of atoms. For the density of states at the Fermi level, the calculation gives 20.34 states/eV per cell.

Cell: 8.1650 8.1650 23.1352 Å, 90.00 90.00 120.00°
Closest atoms and distances in Å follow each position.
Space group R-3m (No. 166, hexagonal axes)
Inequivalent atoms, fractional coordinates:
Tb  0.0000  0.5000  0.0000 (multiplicity 9)  6 Se 2.86-2.88
Tl  0.0000  0.5000  0.5000 (multiplicity 9)  6 Se 3.25-3.27
Cr  0.0000  0.0000  0.0000 (multiplicity 3)  6 Se 2.61
Se  0.0000  0.0000  0.2631 (multiplicity 6)  3 Tb 2.86
Se  0.0298  0.5149  0.7312 (multiplicity 18)  1 Cr 2.61, 2 Tb 2.88



Entry from the Alexandria database: crystalline TlRh2Se at its relaxed geometry (PBE).

## Properties
As for the total magnetization: 0.000 μB per formula unit. The calculation puts the uncorrected formation energy at 7 kJ per mole of atoms. For the density of states at the Fermi level, the calculation gives 2.71 states/eV per cell.

Cell: 3.1467 3.1467 6.9482 Å, 90.00 90.00 90.00°
Closest atoms and distances in Å follow each position.
Space group P4/mmm (No. 123)
Inequivalent atoms, fractional coordinates:
Tl  0.0000  0.0000  0.0000 (multiplicity 1)  8 Rh 2.98, 4 Tl 3.15
Rh  0.5000  0.5000  0.2857 (multiplicity 2)  4 Se 2.68, 1 Rh 2.98, 4 Tl 2.98
Se  0.0000  0.0000  0.5000 (multiplicity 1)  8 Rh 2.68



Entry from the Alexandria database: crystalline CdIn4Hg4 at its relaxed geometry (PBE).

## Properties
As for the total magnetization: 0.000 μB per formula unit. For the density of states at the Fermi level, the calculation gives 7.99 states/eV per cell. The value obtained for the distance to the lowest polymorph of the same formula is 0 meV/atom.

Cell: 10.0708 10.0708 4.6269 Å, 90.00 90.00 90.00°
Closest atoms and distances in Å follow each position.
Space group I4/m (No. 87)
Inequivalent atoms, fractional coordinates:
Cd  0.0000  0.0000  0.0000 (multiplicity 2)  8 Hg 3.29, 4 In 3.29
In  0.0006  0.6730  0.0000 (multiplicity 8)  6 Hg 3.28-3.39, 1 Cd 3.29, 5 In 3.38-3.48
Hg  0.1642  0.1639  0.5000 (multiplicity 8)  6 In 3.28-3.39, 2 Cd 3.29, 4 Hg 3.30-3.37



Entry from the Alexandria database: crystalline HfGaIrAu at its relaxed geometry (PBE).

## Properties
As for the total magnetization: 0.000 μB per formula unit. For the density of states at the Fermi level, the calculation gives 10.08 states/eV per cell. The total DFT energy (no corrections) comes out at -0.4967 Ry per atom.

Cell: 6.5056 6.5056 6.5056 Å, 90.00 90.00 90.00°
Closest atoms and distances in Å follow each position.
Space group F-43m (No. 216)
Inequivalent atoms, fractional coordinates:
Hf  0.0000  0.0000  0.0000 (multiplicity 4)  4 Ir 2.82, 4 Au 2.82
Ga  0.0000  0.0000  0.5000 (multiplicity 4)  4 Ir 2.82, 4 Au 2.82
Ir  0.2500  0.2500  0.7500 (multiplicity 4)  4 Hf 2.82, 4 Ga 2.82
Au  0.2500  0.2500  0.2500 (multiplicity 4)  4 Hf 2.82, 4 Ga 2.82



Entry from the Alexandria database: crystalline AlSbPd3 at its relaxed geometry (PBE).

## Properties
As for the total magnetization: 0.000 μB per formula unit. The calculation puts the uncorrected formation energy at 43 kJ per mole of atoms. For the density of states at the Fermi level, the calculation gives 1.62 states/eV per cell. The value obtained for the distance to the lowest polymorph of the same formula is 480 meV/atom.

Cell: 4.9296 4.9296 4.9296 Å, 90.00 90.00 90.00°
Closest atoms and distances in Å follow each position.
Space group Pm-3m (No. 221)
Inequivalent atoms, fractional coordinates:
Al  0.0000  0.0000  0.0000 (multiplicity 1)  12 Pd 3.49
Sb  0.5000  0.5000  0.5000 (multiplicity 1)  6 Pd 2.46
Pd  0.0000  0.5000  0.5000 (multiplicity 3)  2 Sb 2.46



Number 1: calculated density 2.30 Mg/m³. Number 2: calculated density 4.82 Mg/m³. Number 3: calculated density 6.44 Mg/m³. Number 4: calculated density 9.92 Mg/m³. Number 5: calculated density 6.37 Mg/m³. Number 6: calculated density 7.10 Mg/m³. Number 7: calculated density 2.80 Mg/m³. Number 8: calculated density 6.61 Mg/m³. Number 9: calculated density 11.81 Mg/m³. Number 10: calculated density 9.72 Mg/m³. Number 11: calculated density 15.38 Mg/m³. Number 12: calculated density 6.49 Mg/m³.